(1)
## BeNiPd (PBE)

Data for an optimized crystal structure of BeNiPd.

Properties
DFT total energy ... -5.204 eV/atom
Distance to the lowest polymorph of the same formula ... 0.0 kJ/mol of atoms

a b c (Å): 2.706 2.706 9.117
angles (deg): 90.00 90.00 90.00
Atoms (fractional coordinates):
Be: 0.250 0.250 0.222
Be: 0.750 0.750 0.778
Ni: 0.250 0.250 0.914
Ni: 0.750 0.750 0.086
Pd: 0.250 0.250 0.619
Pd: 0.750 0.750 0.381

=====

(2)
## Er4TeC2S (PBE)

Data for an optimized crystal structure of Er4TeC2S.

Properties
DFT total energy ... -6.582 eV/atom

a b c (Å): 3.715 3.715 13.395
angles (deg): 90.00 90.00 120.00
Atoms (fractional coordinates):
Er: 0.000 0.000 0.138
Er: 0.000 0.000 0.862
Er: 0.333 0.667 0.332
Er: 0.333 0.667 0.668
Te: 0.000 0.000 0.500
C: 0.667 0.333 0.237
C: 0.667 0.333 0.763
S: 0.333 0.667 0.000

=====

(3)
## CdIn2Sb (PBE)

Data for an optimized crystal structure of CdIn2Sb.

Properties
DFT total energy ... -2.560 eV/atom

a b c (Å): 5.350 5.350 5.350
angles (deg): 60.00 60.00 60.00
Atoms (fractional coordinates):
Cd: 0.000 0.000 0.000
In: 0.250 0.250 0.250
In: 0.500 0.500 0.500
Sb: 0.750 0.750 0.750

=====

| no. | calculated volume (Å³/cell) |
| --- | --- |
| 1 | 66.8 |
| 2 | 160.1 |
| 3 | 108.2 |